Compound: AcPrTm2
Source: the Alexandria database
Functional: GGA-PBE
Structure: relaxed

abc: 3.7044 3.7044 35.0812
angles: 90.00 90.00 120.00
With the nearest neighbours (Å) after each atom.
Space group R-3m (No. 166, hexagonal axes)
Unique sites:
Ac (0.0000, 0.0000, 0.0000) [3 per cell]  6 Tm 3.67, 6 Ac 3.70
Pr (0.0000, 0.0000, 0.5000) [3 per cell]  6 Tm 3.57, 6 Pr 3.70
Tm (0.0000, 0.0000, 0.2482) [6 per cell]  3 Pr 3.57, 3 Ac 3.67, 6 Tm 3.70

Its energy relative to the elements is 20 kJ/mol of formula units. As for the relative energy among the computed polymorphs: 0.004 eV/atom. The calculation puts the volume at 34.74 Å³/atom. For the magnetization, the calculation gives 0.00 μB per formula unit.